Material: Hf2TiSnB
Method: DFT, PBE-GGA
State: optimized geometry

abc: 4.582 4.582 4.356
angles: 90.00 90.00 90.00
Element x y z (fractional)
B 0.000 0.000 0.000
Hf 0.000 0.500 0.000
Hf 0.500 0.000 0.000
Ti 0.000 0.000 0.500
Sn 0.500 0.500 0.500

## Properties
crystal system: tetragonal
M_tot: 0.000 μB/atom
formation energy: -431 meV/atom
space-group type: No. 123